DFT (PBE) results for a relaxed structure of PrMgAgO3.

SG: Cmcm
Spin magnetization (μB per formula unit): 0.122
E_tot (eV/cell): -60.25
V (Å³ per cell): 202.1

a = 7.9531 Å, b = 7.9531 Å, c = 8.0768 Å
α = 90.00°, β = 90.00°, γ = 156.70°
Positions (direct):
1 Ag 0.6148 0.3852 0.2500
2 Ag 0.3852 0.6148 0.7500
3 Mg 0.3232 0.6768 0.2500
4 Mg 0.6768 0.3232 0.7500
5 O 0.8710 0.1290 0.0877
6 O 0.7474 0.2526 0.2500
7 O 0.8710 0.1290 0.4123
8 O 0.1290 0.8710 0.5877
9 O 0.2526 0.7474 0.7500
10 O 0.1290 0.8710 0.9123
11 Pr 0.0000 0.0000 0.0000
12 Pr 0.0000 0.0000 0.5000